(1)
6
Lattice="2.383 1.376 7.742 -2.383 1.376 7.742 0.000 -2.751 7.742" Properties=species:S:1:pos:R:3 comment="NdGaGe (PBE-GGA, relaxed)" spacegroup="R-3m (166)" total_energy_ev_per_cell=-26.342 pbc="T T T"
Nd 0.000 0.000 2.709
Nd 0.000 0.000 20.519
Ga 0.000 0.000 8.770
Ga 0.000 0.000 14.458
Ge 0.000 0.000 6.223
Ge 0.000 0.000 17.005

***

(2)
7
Lattice="5.537 -2.184 0.000 5.537 2.184 0.000 -3.081 0.000 7.056" Properties=species:S:1:pos:R:3 comment="Nd3Ga2Ge2 (PBE-GGA, relaxed)" spacegroup="C2/m (12)" total_energy_ev_per_cell=-34.803 pbc="T T T"
Nd 0.000 0.000 0.000
Nd 0.017 0.000 4.438
Nd 7.977 0.000 2.619
Ga 3.194 0.000 0.497
Ga 4.800 0.000 6.560
Ge 3.106 0.000 4.701
Ge 4.889 0.000 2.356

***

(3)
8
Lattice="4.094 0.000 0.000 0.000 4.486 0.000 0.000 0.000 11.181" Properties=species:S:1:pos:R:3 comment="Nd4GaGe3 (PBE-GGA, relaxed)" spacegroup="Pmm2 (25)" total_energy_ev_per_cell=-42.378 pbc="T T T"
Nd 0.000 0.000 0.000
Nd 0.000 2.243 5.571
Nd 2.047 0.000 3.096
Nd 2.047 2.243 8.704
Ga 2.047 0.000 6.299
Ge 0.000 0.000 8.003
Ge 0.000 2.243 2.425
Ge 2.047 2.243 0.641

***

(4)
12
Lattice="0.000 4.276 7.368 4.263 0.000 7.368 4.263 4.276 0.000" Properties=species:S:1:pos:R:3 comment="Nd2Ga3Ge (PBE-GGA, relaxed)" spacegroup="Fmmm (69)" total_energy_ev_per_cell=-55.035 pbc="T T T"
Nd 4.263 2.105 7.368
Nd 2.131 2.138 3.684
Nd 6.394 6.414 11.052
Nd 4.263 6.447 7.368
Ga 6.375 4.276 6.143
Ga 4.263 4.276 4.932
Ga 6.375 4.276 8.594
Ga 2.150 4.276 6.143
Ga 4.263 4.276 9.805
Ga 2.150 4.276 8.594
Ge 4.263 4.276 2.465
Ge 4.263 4.276 12.272

***

no.,ΔH_f (0 K) (eV per atom),total moment (μB per cell)
1,-0.25,0.00
2,-0.74,0.00
3,-0.80,0.11
4,-0.71,0.00